(1)
{
  "formula": "CsLiNb2H",
  "functional": "PBE-GGA",
  "state": "relaxed",
  "lattice": [[4.051, 0.000, 0.000], [0.000, 6.263, 0.000], [0.000, 0.000, 4.051]],
  "species": ["Cs", "H", "Nb", "Nb", "Li"],
  "fractional_positions": [[0.500, 0.500, 0.500], [0.000, 0.000, 0.000], [0.000, 0.000, 0.500], [0.500, 0.000, 0.000], [0.000, 0.500, 0.000]],
  "final_energy_ha_per_atom": -0.159
}


(2)
{
  "formula": "CuOF4",
  "functional": "PBE-GGA",
  "state": "relaxed",
  "lattice": [[-2.219, 0.556, 4.575], [-1.496, -4.643, 2.522], [4.192, -3.427, 5.564]],
  "species": ["Cu", "Cu", "O", "O", "F", "F", "F", "F", "F", "F", "F", "F"],
  "fractional_positions": [[0.787, 0.053, 0.384], [0.213, 0.947, 0.616], [0.199, 0.124, 0.789], [0.801, 0.876, 0.211], [0.299, 0.900, 0.975], [0.108, 0.628, 0.849], [0.368, 0.266, 0.378], [0.632, 0.734, 0.622], [0.816, 0.186, 0.570], [0.892, 0.372, 0.151], [0.184, 0.814, 0.430], [0.701, 0.100, 0.025]],
  "final_energy_ha_per_atom": -0.126
}


(3)
{
  "formula": "Pr3Dy2Y2",
  "functional": "PBE-GGA",
  "state": "relaxed",
  "lattice": [[3.548, -0.535, 0.553], [-0.369, 11.836, 1.929], [1.106, 1.259, 6.054]],
  "species": ["Pr", "Pr", "Pr", "Dy", "Dy", "Y", "Y"],
  "fractional_positions": [[0.000, 0.000, 0.000], [0.572, 0.429, 0.287], [0.428, 0.571, 0.713], [0.711, 0.283, 0.862], [0.289, 0.717, 0.138], [0.856, 0.142, 0.429], [0.144, 0.858, 0.571]],
  "e_above_lowest_polymorph_mev_per_atom": 0,
  "delta_e_f_ev_per_atom": 0.017
}


(4)
{
  "formula": "LaYbMo12S16",
  "functional": "PBE-GGA",
  "state": "relaxed",
  "lattice": [[6.552, -0.010, -0.018], [0.110, 6.548, -0.002], [0.220, 0.171, 13.100]],
  "species": ["La", "Yb", "Mo", "Mo", "Mo", "Mo", "Mo", "Mo", "Mo", "Mo", "Mo", "Mo", "Mo", "Mo", "S", "S", "S", "S", "S", "S", "S", "S", "S", "S", "S", "S", "S", "S", "S", "S"],
  "fractional_positions": [[0.000, 0.000, 0.000], [0.000, 0.000, 0.500], [0.223, 0.416, 0.780], [0.228, 0.423, 0.281], [0.558, 0.222, 0.709], [0.565, 0.230, 0.211], [0.417, 0.557, 0.612], [0.422, 0.565, 0.114], [0.772, 0.577, 0.719], [0.777, 0.584, 0.220], [0.435, 0.770, 0.789], [0.442, 0.778, 0.291], [0.578, 0.435, 0.886], [0.583, 0.443, 0.388], [0.745, 0.371, 0.564], [0.749, 0.378, 0.064], [0.124, 0.743, 0.686], [0.130, 0.752, 0.188], [0.373, 0.124, 0.873], [0.377, 0.131, 0.374], [0.251, 0.622, 0.936], [0.255, 0.629, 0.436], [0.870, 0.248, 0.812], [0.876, 0.257, 0.314], [0.623, 0.869, 0.626], [0.627, 0.876, 0.127], [0.239, 0.238, 0.620], [0.246, 0.245, 0.122], [0.754, 0.755, 0.878], [0.761, 0.762, 0.380]],
  "final_energy_ha_per_atom": -0.282
}


(5)
{
  "formula": "KLiMn",
  "functional": "PBE-GGA",
  "state": "relaxed",
  "lattice": [[-0.358, -3.093, 1.104], [2.868, 0.957, -1.332], [2.760, 2.425, 7.687]],
  "species": ["K", "Li", "Mn"],
  "fractional_positions": [[0.000, 0.000, 0.990], [0.667, 0.333, 0.379], [0.333, 0.667, 0.632]],
  "e_above_lowest_polymorph_mev_per_atom": 80,
  "delta_e_f_ev_per_atom": 0.754
}


(6)
{
  "formula": "Mn2ZnSe4",
  "functional": "PBE-GGA",
  "state": "relaxed",
  "lattice": [[-0.793, 2.283, 7.161], [-6.512, 3.081, 2.285], [-4.536, -3.804, 4.698]],
  "species": ["Mn", "Mn", "Mn", "Mn", "Zn", "Zn", "Se", "Se", "Se", "Se", "Se", "Se", "Se", "Se"],
  "fractional_positions": [[0.125, 0.625, 0.125], [0.125, 0.125, 0.625], [0.625, 0.125, 0.125], [0.125, 0.125, 0.125], [0.750, 0.750, 0.750], [0.500, 0.500, 0.500], [0.884, 0.348, 0.884], [0.884, 0.884, 0.348], [0.348, 0.884, 0.884], [0.884, 0.884, 0.884], [0.366, 0.902, 0.366], [0.366, 0.366, 0.902], [0.902, 0.366, 0.366], [0.366, 0.366, 0.366]],
  "final_energy_ha_per_atom": -0.194
}


(7)
{
  "formula": "Pm3Pr3Zn2Ga",
  "functional": "PBE-GGA",
  "state": "relaxed",
  "lattice": [[-2.006, -1.587, -2.633], [2.736, -8.062, 2.776], [-7.414, 3.646, 3.452]],
  "species": ["Pm", "Pm", "Pm", "Pr", "Pr", "Pr", "Zn", "Zn", "Ga"],
  "fractional_positions": [[0.500, 0.727, 0.000], [0.500, 0.000, 0.727], [0.500, 0.273, 0.273], [0.000, 0.604, 0.604], [0.000, 0.000, 0.396], [0.000, 0.396, 0.000], [0.500, 0.667, 0.333], [0.500, 0.333, 0.667], [0.000, 0.000, 0.000]],
  "delta_e_f_ev_per_atom": -0.209
}


(8)
{
  "formula": "Sr7Ca2",
  "functional": "PBE-GGA",
  "state": "relaxed",
  "lattice": [[-5.029, -5.128, -1.033], [6.526, -0.640, -3.106], [3.414, -5.001, 8.203]],
  "species": ["Sr", "Sr", "Sr", "Sr", "Sr", "Sr", "Sr", "Ca", "Ca"],
  "fractional_positions": [[0.000, 0.000, 0.000], [0.664, 0.000, 0.328], [0.000, 0.664, 0.328], [0.336, 0.336, 0.328], [0.000, 0.336, 0.672], [0.336, 0.000, 0.672], [0.664, 0.664, 0.672], [0.333, 0.667, 0.000], [0.667, 0.333, 0.000]],
  "e_above_lowest_polymorph_mev_per_atom": 0,
  "delta_e_f_ev_per_atom": 0.011
}


Asked for magnetization across the records above, the calculation gives 0.00 3.98 0.00 0.39 4.06 15.77 0.00 0.00 μB per cell in order.